A PBEsol-optimized structure of Zn2Au3. Source: the Alexandria database, functional meta-GGA SCAN.

Properties
- N(E_F): 2.5 states/eV/cell
- ΔE to the lowest computed polymorph: 0.00 kcal/mol of atoms
- DFT total energy: -47.128 eV/atom

a = 7.0655 Å, b = 5.3456 Å, c = 8.1054 Å
α = 59.22°, β = 40.54°, γ = 80.24°
With the nearest neighbours (Å) after each atom.
Atoms (fractional coordinates):
Zn  0.0195  0.4805  0.0783  8 Au 2.66-2.88, 2 Zn 2.89
Zn  0.1717  0.8283  0.2305  8 Au 2.66-2.88, 2 Zn 2.89
Zn  0.4805  0.0195  0.4217  8 Au 2.66-2.88, 2 Zn 2.89
Zn  0.8283  0.1717  0.7695  8 Au 2.66-2.88, 2 Zn 2.89
Au  0.0554  0.0554  0.9446  6 Zn 2.67-2.88, 6 Au 2.85-2.97
Au  0.3054  0.3054  0.1946  6 Zn 2.67-2.88, 6 Au 2.85-2.97
Au  0.4890  0.5973  0.3055  5 Zn 2.66-2.83, 6 Au 2.74-2.97
Au  0.5973  0.4890  0.6082  5 Zn 2.66-2.83, 6 Au 2.74-2.97
Au  0.6418  0.9445  0.6527  5 Zn 2.66-2.83, 6 Au 2.74-2.97
Au  0.9445  0.6418  0.7610  5 Zn 2.66-2.83, 6 Au 2.74-2.97